CaCdPb | Alexandria via LeMat-Bulk | GGA-PBE | optimized geometry; density = 6.89 g/cm³; Fermi-level density of states = 1.6 states/eV/f.u.; SG = P2/m (10); total moment = 0.000 μB/atom; E = -14.99 eV for the cell shown
1.0
-3.644 4.301 0.305
-0.774 -0.914 3.652
7.674 0.876 5.894
Pb Ca Cd
2 2 2
direct
0.366 0.948 0.001 Pb
0.866 0.448 0.001 Pb
0.997 0.615 0.334 Ca
0.734 0.281 0.667 Ca
0.490 0.116 0.332 Cd
0.241 0.779 0.669 Cd


YMg2Al | Alexandria via LeMat-Bulk | GGA-PBE | optimized geometry; density = 2.85 g/cm³; Fermi-level density of states = 2.9 states/eV/f.u.; SG = C2/m (12); total moment = 0.000 μB/atom; E = -13.84 eV for the cell shown
1.0
6.031 -0.018 0.109
5.015 3.349 0.109
1.771 0.534 4.753
Al Mg Y
1 2 1
direct
0.250 0.250 0.250 Al
0.522 0.522 0.477 Mg
0.978 0.978 0.023 Mg
0.750 0.750 0.750 Y


HgTeMo2 | Alexandria via LeMat-Bulk | GGA-PBE | optimized geometry; density = 11.34 g/cm³; Fermi-level density of states = 3.0 states/eV/f.u.; SG = C2/m (12); total moment = 0.000 μB/atom; formation energy without anion corrections = 0.632 eV per atom; E = -22.58 eV for the cell shown; distance to the lowest polymorph of the same formula = 349 meV/atom
1.0
4.658 -0.003 -0.001
3.578 2.982 -0.001
1.015 0.367 5.478
Hg Te Mo
1 1 2
direct
0.250 0.250 0.250 Hg
0.750 0.750 0.750 Te
0.004 0.004 0.981 Mo
0.496 0.496 0.519 Mo


Sm2Ga2CuRh5 | Alexandria via LeMat-Bulk | GGA-PBE | optimized geometry; density = 9.86 g/cm³; Fermi-level density of states = 4.3 states/eV/f.u.; SG = P4/mbm (127); total moment = 0.000 μB/atom; E = -124.27 eV for the cell shown
1.0
-2.511 2.431 0.536
-3.561 -1.688 -9.026
-5.950 -6.950 3.647
Ga Rh Sm Cu
4 10 4 2
direct
0.000 0.375 0.125 Ga
0.000 0.875 0.375 Ga
0.000 0.125 0.625 Ga
0.000 0.625 0.875 Ga
0.500 0.201 0.064 Rh
0.500 0.436 0.299 Rh
0.500 0.500 0.000 Rh
0.500 0.799 0.936 Rh
0.500 0.000 0.500 Rh
0.500 0.936 0.201 Rh
0.500 0.064 0.799 Rh
0.500 0.701 0.436 Rh
0.500 0.564 0.701 Rh
0.500 0.299 0.564 Rh
0.000 0.175 0.325 Sm
0.000 0.825 0.675 Sm
0.000 0.675 0.175 Sm
0.000 0.325 0.825 Sm
0.000 0.000 0.000 Cu
0.000 0.500 0.500 Cu


CsNbS2O8 | Alexandria via LeMat-Bulk | GGA-PBE | optimized geometry; density = 3.40 g/cm³; Fermi-level density of states = 3.3 states/eV/f.u.; SG = P-3 (147); total moment = 0.167 μB/atom; formation energy without anion corrections = -1.643 eV per atom; E = -78.56 eV for the cell shown
1.0
5.085 0.000 0.000
-2.542 4.404 0.000
0.000 0.000 9.107
S O Cs Nb
2 8 1 1
direct
0.333 0.667 0.700 S
0.667 0.333 0.300 S
0.920 0.631 0.356 O
0.667 0.333 0.139 O
0.711 0.080 0.356 O
0.289 0.920 0.644 O
0.333 0.667 0.861 O
0.631 0.711 0.644 O
0.369 0.289 0.356 O
0.080 0.369 0.644 O
0.000 0.000 0.000 Cs
0.000 0.000 0.500 Nb


Pr4GaCoCl2 | Alexandria via LeMat-Bulk | GGA-PBE | optimized geometry; density = 5.69 g/cm³; Fermi-level density of states = 6.4 states/eV/f.u.; SG = P2/m (10); total moment = 0.000 μB/atom; formation energy without anion corrections = -0.876 eV per atom; E = -39.95 eV for the cell shown
1.0
-1.472 -3.585 1.012
6.990 -2.731 0.497
-2.022 2.800 6.977
Pr Ga Cl Co
4 1 2 1
direct
0.500 0.231 0.210 Pr
0.000 0.224 0.783 Pr
0.500 0.769 0.790 Pr
0.000 0.776 0.217 Pr
0.500 0.500 0.000 Ga
0.500 0.000 0.500 Cl
0.000 0.500 0.500 Cl
0.000 0.000 0.000 Co


Pr12Si6Hg | Alexandria via LeMat-Bulk | GGA-PBE | optimized geometry; density = 6.14 g/cm³; Fermi-level density of states = 13.2 states/eV/f.u.; SG = Im-3 (204); total moment = 0.000 μB/atom; formation energy without anion corrections = -0.487 eV per atom; E = -99.44 eV for the cell shown
1.0
8.466 0.000 -2.993
-4.233 7.332 -2.993
0.000 0.000 8.980
Si Pr Hg
6 12 1
direct
0.114 0.614 0.500 Si
0.614 0.500 0.114 Si
0.386 0.500 0.886 Si
0.500 0.114 0.614 Si
0.500 0.886 0.386 Si
0.886 0.386 0.500 Si
0.704 0.891 0.188 Pr
0.484 0.188 0.296 Pr
0.812 0.704 0.516 Pr
0.109 0.812 0.296 Pr
0.188 0.704 0.891 Pr
0.296 0.109 0.812 Pr
0.296 0.484 0.188 Pr
0.188 0.296 0.484 Pr
0.891 0.188 0.704 Pr
0.812 0.296 0.109 Pr
0.704 0.516 0.812 Pr
0.516 0.812 0.704 Pr
0.000 0.000 0.000 Hg


NaSnB | Alexandria via LeMat-Bulk | GGA-PBE | optimized geometry; density = 3.98 g/cm³; Fermi-level density of states = 0.1 states/eV/f.u.; SG = P6_3/mmc (194); total moment = 0.000 μB/atom; E = -22.03 eV for the cell shown
1.0
-1.805 1.320 3.188
3.268 -2.090 0.337
5.249 8.144 -0.400
B Na Sn
2 2 2
direct
0.333 0.667 0.750 B
0.667 0.333 0.250 B
0.000 0.000 0.500 Na
0.000 0.000 0.000 Na
0.333 0.667 0.250 Sn
0.667 0.333 0.750 Sn


BeAlBO3F2 | Alexandria via LeMat-Bulk | GGA-PBE | optimized geometry; density = 2.52 g/cm³; Fermi-level density of states = 0.0 states/eV/f.u.; SG = P3 (143); total moment = 0.000 μB/atom; formation energy without anion corrections = -2.824 eV per atom; E = -55.35 eV for the cell shown
1.0
-4.153 1.223 -1.667
2.492 -3.268 -2.151
-2.035 -3.297 2.651
F Be B O Al
2 1 1 3 1
direct
0.000 0.000 0.356 F
0.667 0.333 0.303 F
0.000 0.000 0.665 Be
0.333 0.667 0.802 B
0.639 0.957 0.808 O
0.043 0.682 0.808 O
0.318 0.361 0.808 O
0.667 0.333 0.949 Al


Ca5GeBr5 | Alexandria via LeMat-Bulk | GGA-PBE | optimized geometry; density = 3.32 g/cm³; Fermi-level density of states = 4.2 states/eV/f.u.; SG = C2/m (12); total moment = 0.000 μB/atom; formation energy without anion corrections = -1.509 eV per atom; E = -39.59 eV for the cell shown
1.0
-5.584 -2.023 0.643
2.695 -0.837 -6.974
2.936 -6.632 4.628
Ca Br Ge
5 5 1
direct
0.848 0.696 0.159 Ca
0.849 0.698 0.688 Ca
0.500 0.000 0.000 Ca
0.152 0.304 0.841 Ca
0.151 0.302 0.312 Ca
0.672 0.345 0.832 Br
0.313 0.626 0.657 Br
0.000 0.000 0.500 Br
0.328 0.655 0.168 Br
0.687 0.374 0.343 Br
0.000 0.000 0.000 Ge


CeRu2Pb | Alexandria via LeMat-Bulk | GGA-PBE | optimized geometry; density = 11.93 g/cm³; Fermi-level density of states = 1.0 states/eV/f.u.; SG = P4/mmm (123); total moment = 0.000 μB/atom; E = -28.85 eV for the cell shown; distance to the lowest polymorph of the same formula = 0 meV/atom
1.0
3.680 0.000 0.000
0.000 4.559 0.000
0.000 0.000 4.559
Ce Ru Pb
1 2 1
direct
0.500 0.000 0.000 Ce
0.000 0.000 0.500 Ru
0.000 0.500 0.000 Ru
0.500 0.500 0.500 Pb


YEr5Th3 | Alexandria via LeMat-Bulk | GGA-PBE | optimized geometry; density = 8.63 g/cm³; Fermi-level density of states = 14.2 states/eV/f.u.; SG = C2/m (12); total moment = 0.000 μB/atom; E = -93.11 eV for the cell shown
1.0
7.382 0.453 -0.818
2.457 6.976 -0.818
2.377 1.795 11.990
Er Th Y
10 6 2
direct
0.557 0.557 0.380 Er
0.328 0.938 0.223 Er
0.257 0.257 0.978 Er
0.743 0.743 0.022 Er
0.443 0.443 0.620 Er
0.062 0.672 0.777 Er
0.938 0.328 0.223 Er
0.672 0.062 0.777 Er
0.329 0.671 0.000 Er
0.671 0.329 0.000 Er
0.000 0.000 0.000 Th
0.379 0.379 0.216 Th
0.739 0.739 0.548 Th
0.261 0.261 0.452 Th
0.621 0.621 0.784 Th
0.000 0.000 0.500 Th
0.859 0.859 0.268 Y
0.141 0.141 0.732 Y


CaPtSe | Alexandria via LeMat-Bulk | GGA-PBE | optimized geometry; density = 7.51 g/cm³; Fermi-level density of states = 0.5 states/eV/f.u.; SG = P-1 (2); total moment = 0.000 μB/atom; formation energy without anion corrections = -1.047 eV per atom; E = -29.34 eV for the cell shown
1.0
4.491 -0.030 -0.027
1.712 5.545 0.017
-2.811 -0.268 5.579
Pt Ca Se
2 2 2
direct
0.729 0.976 0.738 Pt
0.608 0.616 0.377 Pt
0.414 0.551 0.801 Ca
0.923 0.041 0.315 Ca
0.077 0.493 0.255 Se
0.260 0.099 0.861 Se